{"formula": "NbP2AuO", "functional": "PBEsol", "state": "relaxed", "spacegroup": "No. 123", "formation_energy_uncorrected_kj_per_mol_atoms": 75, "lattice_angstrom": [[-3.691, -0.689, -0.696], [-0.799, -0.392, 4.627], [-0.906, 4.618, 0.235]], "species": ["P", "P", "Au", "Nb", "O"], "frac_coords": [[0.000, 0.000, 0.500], [0.000, 0.500, 0.000], [0.000, 0.000, 0.000], [0.500, 0.500, 0.500], [0.500, 0.000, 0.000]]}

---

{"formula": "Ca2MgZr", "functional": "PBEsol", "state": "relaxed", "formation_energy_ev_per_fu": 1.09, "spacegroup": "No. 8", "lattice_angstrom": [[-2.445, 2.251, 0.480], [-0.411, -1.657, 5.672], [5.356, 3.506, -0.906]], "species": ["Zr", "Ca", "Ca", "Mg"], "frac_coords": [[0.775, 0.216, 0.549], [0.231, 0.685, 0.462], [0.015, 0.062, 0.029], [0.480, 0.537, 0.959]]}

---

{"formula": "WAuNO2", "functional": "PBEsol", "state": "relaxed", "spacegroup": "No. 123", "formation_energy_uncorrected_kj_per_mol_atoms": 145, "lattice_angstrom": [[-2.367, 3.041, 0.847], [-2.989, -2.531, 0.732], [1.108, -0.202, 3.822]], "species": ["Au", "W", "O", "O", "N"], "frac_coords": [[0.000, 0.000, 0.000], [0.500, 0.500, 0.500], [0.000, 0.500, 0.000], [0.000, 0.000, 0.500], [0.500, 0.000, 0.000]]}

---

{"formula": "AlInSeI2", "functional": "PBEsol", "state": "relaxed", "spacegroup": "No. 123", "formation_energy_uncorrected_kj_per_mol_atoms": -30, "lattice_angstrom": [[4.777, 0.000, 0.000], [0.000, 5.637, 0.000], [0.000, 0.000, 5.637]], "species": ["I", "I", "Se", "In", "Al"], "frac_coords": [[0.000, 0.000, 0.500], [0.000, 0.500, 0.000], [0.500, 0.000, 0.000], [0.500, 0.500, 0.500], [0.000, 0.000, 0.000]]}

---

{"formula": "Pd2RhPbF", "functional": "PBEsol", "state": "relaxed", "spacegroup": "No. 123", "formation_energy_uncorrected_kj_per_mol_atoms": 69, "lattice_angstrom": [[-1.548, 0.946, 3.885], [-4.024, -2.818, -0.918], [2.351, -3.978, 1.906]], "species": ["Pd", "Pd", "Pb", "F", "Rh"], "frac_coords": [[0.000, 0.500, 0.000], [0.000, 0.000, 0.500], [0.000, 0.000, 0.000], [0.500, 0.000, 0.000], [0.500, 0.500, 0.500]]}

---

{"formula": "Al2FeNi", "functional": "PBEsol", "state": "relaxed", "formation_energy_ev_per_fu": -2.22, "spacegroup": "No. 123", "lattice_angstrom": [[2.906, 0.000, 0.000], [0.000, 3.972, 0.000], [0.000, 0.000, 3.972]], "species": ["Al", "Al", "Fe", "Ni"], "frac_coords": [[0.500, 0.500, 0.000], [0.500, 0.000, 0.500], [0.000, 0.500, 0.500], [0.000, 0.000, 0.000]]}

---

{"formula": "BeFeCo2", "functional": "PBEsol", "state": "relaxed", "formation_energy_ev_per_fu": -0.24, "spacegroup": "No. 25", "lattice_angstrom": [[-1.561, 1.417, -1.206], [-2.526, -2.078, 0.828], [-0.780, 2.539, 3.992]], "species": ["Co", "Co", "Fe", "Be"], "frac_coords": [[0.500, 0.500, 0.248], [0.000, 0.000, 0.987], [0.000, 0.000, 0.509], [0.500, 0.500, 0.756]]}

---

{"formula": "MgNb2Br", "functional": "PBEsol", "state": "relaxed", "spacegroup": "No. 225", "formation_energy_uncorrected_kj_per_mol_atoms": 76, "lattice_angstrom": [[-2.208, -1.090, 3.974], [2.183, -2.531, 3.269], [1.301, 1.998, 4.021]], "species": ["Mg", "Nb", "Nb", "Br"], "frac_coords": [[0.000, 0.000, 0.000], [0.250, 0.250, 0.250], [0.750, 0.750, 0.750], [0.500, 0.500, 0.500]]}

---

| no. | energy (eV per atom) |
| --- | --- |
| 1 | -5.537 |
| 2 | -3.496 |
| 3 | -5.848 |
| 4 | -3.201 |
| 5 | -4.486 |
| 6 | -6.380 |
| 7 | -7.168 |
| 8 | -5.523 |